GaHgIr3 | meta-GGA SCAN | PBEsol geometry

abc: 4.853 4.853 4.853
angles: 90.00 90.00 90.00
Fractional positions:
Ga 0.000 0.000 0.000
Hg 0.500 0.500 0.500
Ir 0.000 0.500 0.500
Ir 0.500 0.000 0.500
Ir 0.500 0.500 0.000

Summary:
**Fermi-level density of states**: 3.92 states/eV/f.u.
**Calculated formation energy**: 2.58 eV/atom
**Space-group type**: Pm-3m